Below is a relaxed NbPdN2O crystal, with properties calculated at the PBE-GGA level.

Lattice parameters (Å, degrees): 3.8944 3.8944 3.8428 90.00 90.00 90.00
Fractional positions:
1 Nb 0.0000 0.0000 0.0000
2 Pd 0.5000 0.5000 0.5000
3 N 0.0000 0.5000 0.5000
4 N 0.5000 0.0000 0.5000
5 O 0.5000 0.5000 0.0000

Summary:
Magnetic moment (μB per atom): 0.00
Energy relative to the elements, uncorrected (eV per formula unit): 4.695
N(E_F) (states/eV per atom): 0.58